{
  "formula": "MnCuN2F",
  "functional": "PBE with a Hubbard U",
  "state": "relaxed",
  "m_tot_mub_per_fu": 1.3,
  "total_energy_ev_per_atom": -5.45,
  "de_polymorph_ev_per_atom": 0.0000,
  "vol_a3_per_atom": 11.6,
  "lattice": [[3.826, 0.000, 0.000], [0.000, 3.826, 0.000], [0.000, 0.000, 3.962]],
  "species": ["Mn", "Cu", "F", "N", "N"],
  "frac_coords": [[0.000, 0.000, 0.000], [0.500, 0.500, 0.500], [0.000, 0.000, 0.500], [0.500, 0.000, 0.000], [0.000, 0.500, 0.000]]
}